DFT (PBE) results for a relaxed LaMgSi crystal.

Cell and atoms, written as extended XYZ:
```
6
Lattice="3.145 0.000 0.000 0.000 3.989 0.000 0.000 0.000 11.536" Properties=species:S:1:pos:R:3 pbc="T T T"
La 0.000 0.000 0.000
La 1.573 1.995 5.768
Mg 0.000 0.000 8.231
Mg 1.573 1.995 2.462
Si 0.000 0.000 3.786
Si 1.573 1.995 9.555
```

**Uncorrected formation energy**: -19 kJ/mol of atoms
**Volume**: 145 Å³/cell
**DOS at the Fermi energy**: 5.28 states/eV/cell



DFT (PBE) results for a relaxed LaMgSi crystal.

Cell and atoms, written as extended XYZ:
```
12
Lattice="7.080 0.000 0.000 0.000 7.080 0.000 0.000 0.000 7.080" Properties=species:S:1:pos:R:3 pbc="T T T"
La 0.000 0.000 0.000
La 0.000 3.540 3.540
La 3.540 0.000 3.540
La 3.540 3.540 0.000
Mg 1.770 1.770 1.770
Mg 1.770 5.310 5.310
Mg 5.310 1.770 5.310
Mg 5.310 5.310 1.770
Si 1.770 1.770 5.310
Si 1.770 5.310 1.770
Si 5.310 1.770 1.770
Si 5.310 5.310 5.310
```

**Uncorrected formation energy**: 17 kJ/mol of atoms
**Volume**: 355 Å³/cell
**DOS at the Fermi energy**: 8.06 states/eV/cell